Record 1
Rb2CeUN4 after structural relaxation, computed with PBE.

Unit cell a=6.1930 b=3.6199 c=6.9962 alpha=90.00 beta=106.83 gamma=90.00
With the nearest neighbours (Å) after each atom.
Fractional positions:
Rb 0.0000 0.0000 0.0000  6 N 3.16-3.23
Rb 0.5000 0.5000 0.0000  6 N 3.03-3.08
Ce 0.0000 0.5000 0.5000  6 N 2.39-2.41
U 0.5000 0.0000 0.5000  6 N 2.13-2.28
N 0.2467 0.0000 0.6511  1 U 2.13
N 0.2981 0.5000 0.3463  2 U 2.28, 1 Ce 2.39
N 0.7019 0.5000 0.6537  2 U 2.28, 1 Ce 2.39
N 0.7533 0.0000 0.3489  1 U 2.13

Its crystal system is monoclinic. As for the space-group type: P2/m. For the raw formation energy, the calculation gives -0.940 eV per atom.

***

Record 2
Cd2In3Ag8 after structural relaxation, computed with PBE.

Unit cell a=10.9037 b=10.9037 c=10.9037 alpha=29.47 beta=29.47 gamma=29.47
With the nearest neighbours (Å) after each atom.
Fractional positions:
Cd 0.1397 0.1397 0.1397  4 Ag 2.74-2.90
Cd 0.8603 0.8603 0.8603  4 Ag 2.74-2.90
In 0.3165 0.3165 0.3165  4 Ag 2.78-2.95
In 0.5000 0.5000 0.5000  6 Cd 3.31, 6 Ag 3.63
In 0.6835 0.6835 0.6835  4 Ag 2.78-2.95
Ag 0.2275 0.2275 0.2275  1 Cd 2.74, 1 In 2.78
Ag 0.2291 0.2291 0.7291  6 Ag 2.77-3.09, 1 Cd 2.90, 1 In 2.95
Ag 0.2291 0.7291 0.2291  6 Ag 2.77-3.09, 1 Cd 2.90, 1 In 2.95
Ag 0.2709 0.7709 0.7709  6 Ag 2.77-3.09, 1 Cd 2.90, 1 In 2.95
Ag 0.7291 0.2291 0.2291  6 Ag 2.77-3.09, 1 Cd 2.90, 1 In 2.95
Ag 0.7709 0.2709 0.7709  6 Ag 2.77-3.09, 1 Cd 2.90, 1 In 2.95
Ag 0.7709 0.7709 0.2709  6 Ag 2.77-3.09, 1 Cd 2.90, 1 In 2.95
Ag 0.7725 0.7725 0.7725  1 Cd 2.74, 1 In 2.78

Its crystal system is trigonal. As for the excess energy over the best structure of this formula in the dataset: 0 meV/atom. As for the space-group type: R-3m. The energy of formation from the pure elements comes out at 76.3 kJ/mol of formula units.

***

Record 3
La6MgGe2S14 after structural relaxation, computed with PBE.

Unit cell a=10.4180 b=10.4180 c=5.8374 alpha=90.00 beta=90.00 gamma=120.00
With the nearest neighbours (Å) after each atom.
Fractional positions:
La 0.0228 0.4585 0.0000  8 S 2.89-3.13
La 0.3101 0.2093 0.4943  8 S 2.88-3.23
La 0.4357 0.9772 0.0000  8 S 2.89-3.13
La 0.5415 0.5643 0.0000  8 S 2.89-3.13
La 0.7907 0.1008 0.4943  8 S 2.88-3.23
La 0.8992 0.6899 0.4943  8 S 2.88-3.23
Mg 0.6667 0.3333 0.7324  6 S 2.63-2.64
Ge 0.0000 0.0000 0.0770  4 S 2.19-2.25
Ge 0.3333 0.6667 0.5855  4 S 2.20-2.25
S 0.0000 0.0000 0.7011  1 Ge 2.19
S 0.0780 0.2254 0.2294  1 Ge 2.25
S 0.1473 0.9220 0.2294  1 Ge 2.25
S 0.1870 0.7462 0.7355  1 Ge 2.25
S 0.2538 0.4408 0.7355  1 Ge 2.25
S 0.3333 0.6667 0.2087  1 Ge 2.20
S 0.4220 0.2467 0.9702  1 Mg 2.63, 2 La 2.89-2.90
S 0.5063 0.0890 0.4939  1 Mg 2.64, 2 La 2.88-2.90
S 0.5592 0.8130 0.7355  1 Ge 2.25
S 0.5827 0.4937 0.4939  1 Mg 2.64, 2 La 2.88-2.90
S 0.7533 0.1753 0.9702  1 Mg 2.63, 2 La 2.89-2.90
S 0.7746 0.8527 0.2294  1 Ge 2.25
S 0.8247 0.5780 0.9702  1 Mg 2.63, 2 La 2.89-2.90
S 0.9110 0.4173 0.4939  1 Mg 2.64, 2 La 2.88-2.90

Its crystal system is trigonal. As for the space-group type: P3. For the raw formation energy, the calculation gives -1.693 eV per atom.

***

Record 4
LiPmCd14 after structural relaxation, computed with PBE.

Unit cell a=6.5956 b=6.5956 c=8.4396 alpha=90.00 beta=90.00 gamma=90.00
With the nearest neighbours (Å) after each atom.
Fractional positions:
Li 0.0000 0.0000 0.0000  12 Cd 3.11-3.30
Pm 0.5000 0.5000 0.0000  12 Cd 3.22-3.30
Cd 0.0000 0.0000 0.5000  12 Cd 3.07-3.30
Cd 0.0000 0.5000 0.0000  8 Cd 3.17, 2 Li 3.30, 2 Pm 3.30
Cd 0.0000 0.5000 0.5000  12 Cd 3.13-3.30
Cd 0.2414 0.2414 0.2534  10 Cd 3.07-3.41, 1 Li 3.11, 1 Pm 3.22
Cd 0.2414 0.2414 0.7466  10 Cd 3.07-3.41, 1 Li 3.11, 1 Pm 3.22
Cd 0.2414 0.7586 0.2534  10 Cd 3.07-3.41, 1 Li 3.11, 1 Pm 3.22
Cd 0.2414 0.7586 0.7466  10 Cd 3.07-3.41, 1 Li 3.11, 1 Pm 3.22
Cd 0.5000 0.0000 0.0000  8 Cd 3.17, 2 Li 3.30, 2 Pm 3.30
Cd 0.5000 0.0000 0.5000  12 Cd 3.13-3.30
Cd 0.5000 0.5000 0.5000  12 Cd 3.19-3.30
Cd 0.7586 0.2414 0.2534  10 Cd 3.07-3.41, 1 Li 3.11, 1 Pm 3.22
Cd 0.7586 0.2414 0.7466  10 Cd 3.07-3.41, 1 Li 3.11, 1 Pm 3.22
Cd 0.7586 0.7586 0.2534  10 Cd 3.07-3.41, 1 Li 3.11, 1 Pm 3.22
Cd 0.7586 0.7586 0.7466  10 Cd 3.07-3.41, 1 Li 3.11, 1 Pm 3.22

Its crystal system is tetragonal. As for the space-group type: P4/mmm. The energy of formation from the pure elements comes out at -155.0 kJ/mol of formula units.

***

Record 5
NdErGaHg after structural relaxation, computed with PBE.

Unit cell a=3.6468 b=3.6468 c=7.5693 alpha=90.00 beta=90.00 gamma=90.00
With the nearest neighbours (Å) after each atom.
Fractional positions:
Nd 0.0000 0.0000 0.0000  4 Ga 3.19, 4 Hg 3.38, 1 Er 3.57
Er 0.0000 0.0000 0.5286  4 Ga 3.08, 4 Hg 3.15
Ga 0.5000 0.5000 0.7518  4 Er 3.08, 4 Nd 3.19
Hg 0.5000 0.5000 0.2893  4 Er 3.15, 4 Nd 3.38, 1 Ga 3.50

Its crystal system is tetragonal. As for the excess energy over the best structure of this formula in the dataset: 0 meV/atom. As for the space-group type: P4mm. The energy of formation from the pure elements comes out at -203.0 kJ/mol of formula units.

***

Record 6
Er4PuScS8 after structural relaxation, computed with PBE.

Unit cell a=7.9015 b=7.9015 c=7.9015 alpha=61.18 beta=61.18 gamma=61.18
With the nearest neighbours (Å) after each atom.
Fractional positions:
Er 0.0000 0.0000 0.0000  4 S 2.59-2.61
Er 0.3799 0.3799 0.8743  6 S 2.70-2.77
Er 0.3799 0.8743 0.3799  6 S 2.70-2.77
Er 0.8743 0.3799 0.3799  6 S 2.70-2.77
Pu 0.7594 0.7594 0.7594  4 S 2.68-2.69
Sc 0.3808 0.3808 0.3808  6 S 2.58-2.70
S 0.1352 0.1352 0.1352  4 Er 2.59-2.77
S 0.1410 0.1410 0.6017  3 Er 2.61-2.76, 1 Sc 2.70
S 0.1410 0.6017 0.1410  3 Er 2.61-2.76, 1 Sc 2.70
S 0.1673 0.6100 0.6100  1 Sc 2.58, 1 Pu 2.68, 2 Er 2.70
S 0.6017 0.1410 0.1410  3 Er 2.61-2.76, 1 Sc 2.70
S 0.6100 0.1673 0.6100  1 Sc 2.58, 1 Pu 2.68, 2 Er 2.70
S 0.6100 0.6100 0.1673  1 Sc 2.58, 1 Pu 2.68, 2 Er 2.70
S 0.6190 0.6190 0.6190  1 Pu 2.69, 3 Er 2.70

Its crystal system is trigonal. As for the space-group type: R3m. For the raw formation energy, the calculation gives -1.858 eV per atom.

***

Record 7
TaRuN after structural relaxation, computed with PBE.

Unit cell a=5.0950 b=5.0950 c=3.0382 alpha=90.46 beta=90.46 gamma=107.38
With the nearest neighbours (Å) after each atom.
Fractional positions:
Ta 0.2264 0.7736 0.0000  4 N 2.11-2.22
Ta 0.7736 0.2264 0.0000  4 N 2.11-2.22
Ru 0.2872 0.2872 0.4226  2 N 2.08
Ru 0.7632 0.7632 0.4346  2 N 2.08
N 0.4935 0.9957 0.5129  2 Ru 2.08, 4 Ta 2.11-2.22
N 0.9957 0.4935 0.5129  2 Ru 2.08, 4 Ta 2.11-2.22

Its crystal system is monoclinic. As for the excess energy over the best structure of this formula in the dataset: 0 meV/atom. As for the space-group type: Cm. For the raw formation energy, the calculation gives -0.539 eV per atom.

***

Record 8
Al2FeAgH after structural relaxation, computed with PBE.

Unit cell a=4.2901 b=4.2901 c=3.2121 alpha=90.00 beta=90.00 gamma=90.00
With the nearest neighbours (Å) after each atom.
Fractional positions:
Al 0.0000 0.5000 0.0000  2 H 2.15
Al 0.5000 0.0000 0.0000  2 H 2.15
Fe 0.0000 0.0000 0.5000  2 H 1.61
Ag 0.5000 0.5000 0.5000  8 Al 2.68
H 0.0000 0.0000 0.0000  2 Fe 1.61

Its crystal system is tetragonal. As for the space-group type: P4/mmm. The calculation puts the total DFT energy (no corrections) at -4.42 eV per atom.